[1]
# Pm6Al2Zn (PBE, optimized geometry)
# - ΔE to the lowest computed polymorph: 0 kJ/mol of formula units
# - DFT formation energy: -164 kJ/mol of formula units
# - DFT total energy: -4.330 eV/atom
data_Pm6Al2Zn
_chemical_formula_sum 'Pm24 Al8 Zn4'
_symmetry_space_group_name_H-M 'I m m m'
_symmetry_Int_Tables_number 71
_symmetry_space_group_name_Hall '-I 2 2'
_cell_length_a 10.065
_cell_length_b 10.223
_cell_length_c 10.249
_cell_angle_alpha 90.00
_cell_angle_beta 90.00
_cell_angle_gamma 90.00
loop_
_atom_site_label
_atom_site_type_symbol
_atom_site_fract_x
_atom_site_fract_y
_atom_site_fract_z
_atom_site_occupancy
Pm1 Pm 0.000 0.173 0.220 1
Pm2 Pm 0.173 0.500 0.241 1
Pm3 Pm 0.195 0.245 0.500 1
Al1 Al 0.000 0.373 0.000 1
Al2 Al 0.137 0.000 0.000 1
Zn1 Zn 0.000 0.000 0.500 1
Zn2 Zn 0.000 0.500 0.500 1

=====

[2]
# PmAl2Zn6 (PBE, optimized geometry)
# - DFT formation energy: -82 kJ/mol of formula units
# - DFT total energy: -2.303 eV/atom
data_PmAl2Zn6
_chemical_formula_sum 'Pm2 Al4 Zn12'
_symmetry_space_group_name_H-M 'I m m m'
_symmetry_Int_Tables_number 71
_symmetry_space_group_name_Hall '-I 2 2'
_cell_length_a 4.100
_cell_length_b 6.791
_cell_length_c 11.955
_cell_angle_alpha 90.00
_cell_angle_beta 90.00
_cell_angle_gamma 90.00
loop_
_atom_site_label
_atom_site_type_symbol
_atom_site_fract_x
_atom_site_fract_y
_atom_site_fract_z
_atom_site_occupancy
Pm1 Pm 0.000 0.000 0.000 1
Al1 Al 0.000 0.500 0.117 1
Zn1 Zn 0.000 0.178 0.500 1
Zn2 Zn 0.000 0.307 0.309 1

=====

[3]
# PmAlZn2 (PBE, optimized geometry)
# - DFT formation energy: -97 kJ/mol of formula units
# - DFT total energy: -3.011 eV/atom
data_PmAlZn2
_chemical_formula_sum 'Pm1 Al1 Zn2'
_symmetry_space_group_name_H-M 'P 4/m m m'
_symmetry_Int_Tables_number 123
_symmetry_space_group_name_Hall '-P 4 2'
_cell_length_a 4.429
_cell_length_b 4.429
_cell_length_c 4.169
_cell_angle_alpha 90.00
_cell_angle_beta 90.00
_cell_angle_gamma 90.00
loop_
_atom_site_label
_atom_site_type_symbol
_atom_site_fract_x
_atom_site_fract_y
_atom_site_fract_z
_atom_site_occupancy
Pm1 Pm 0.000 0.000 0.000 1
Al1 Al 0.500 0.500 0.000 1
Zn1 Zn 0.000 0.500 0.500 1

=====

[4]
# Pm3AlZn2 (PBE, optimized geometry)
# - DFT formation energy: -190 kJ/mol of formula units
# - DFT total energy: -3.752 eV/atom
data_Pm3AlZn2
_chemical_formula_sum 'Pm6 Al2 Zn4'
_symmetry_space_group_name_H-M 'P -3 m 1'
_symmetry_Int_Tables_number 164
_symmetry_space_group_name_Hall '-P 3 2"'
_cell_length_a 5.1984
_cell_length_b 5.1984
_cell_length_c 12.7531
_cell_angle_alpha 90.00
_cell_angle_beta 90.00
_cell_angle_gamma 120.00
loop_
_atom_site_label
_atom_site_type_symbol
_atom_site_fract_x
_atom_site_fract_y
_atom_site_fract_z
_atom_site_occupancy
Pm1 Pm 0.0000 0.0000 0.2484 1
Pm2 Pm 0.3333 0.6667 0.4173 1
Pm3 Pm 0.3333 0.6667 0.9188 1
Al1 Al 0.3333 0.6667 0.6678 1
Zn1 Zn 0.0000 0.0000 0.0000 1
Zn2 Zn 0.0000 0.0000 0.5000 1
Zn3 Zn 0.3333 0.6667 0.1687 1

=====

[5]
# PmAlZn4 (PBE, optimized geometry)
# - ΔE to the lowest computed polymorph: 0 kJ/mol of formula units
# - DFT formation energy: -161 kJ/mol of formula units
# - DFT total energy: -2.543 eV/atom
data_PmAlZn4
_chemical_formula_sum 'Pm4 Al4 Zn16'
_symmetry_space_group_name_H-M 'C 1 2/m 1'
_symmetry_Int_Tables_number 12
_cell_length_a 9.833
_cell_length_b 6.347
_cell_length_c 7.513
_cell_angle_alpha 90.00
_cell_angle_beta 108.93
_cell_angle_gamma 90.00
loop_
_symmetry_equiv_pos_as_xyz
'x,y,z'
'-x,-y,-z'
'-x,y,-z'
'x,-y,z'
'x+1/2,y+1/2,z'
'-x+1/2,-y+1/2,-z'
'-x+1/2,y+1/2,-z'
'x+1/2,-y+1/2,z'
loop_
_atom_site_label
_atom_site_type_symbol
_atom_site_fract_x
_atom_site_fract_y
_atom_site_fract_z
_atom_site_occupancy
Pm1 Pm 0.199 0.000 0.300 1
Al1 Al 0.075 0.500 0.300 1
Zn1 Zn 0.000 0.221 0.500 1
Zn2 Zn 0.113 0.286 0.948 1
Zn3 Zn 0.186 0.000 0.754 1

=====

[6]
# Pm2AlZn3 (PBE, optimized geometry)
# - ΔE to the lowest computed polymorph: 0 kJ/mol of formula units
# - DFT formation energy: -226 kJ/mol of formula units
# - DFT total energy: -3.235 eV/atom
data_Pm2AlZn3
_chemical_formula_sum 'Pm16 Al8 Zn24'
_symmetry_space_group_name_H-M 'F m m m'
_symmetry_Int_Tables_number 69
_symmetry_space_group_name_Hall '-F 2 2'
_cell_length_a 7.449
_cell_length_b 9.082
_cell_length_c 15.665
_cell_angle_alpha 90.00
_cell_angle_beta 90.00
_cell_angle_gamma 90.00
loop_
_atom_site_label
_atom_site_type_symbol
_atom_site_fract_x
_atom_site_fract_y
_atom_site_fract_z
_atom_site_occupancy
Pm1 Pm 0.240 0.000 0.000 1
Pm2 Pm 0.250 0.250 0.250 1
Al1 Al 0.000 0.000 0.335 1
Zn1 Zn 0.000 0.000 0.167 1
Zn2 Zn 0.000 0.248 0.417 1